No. 1
VASP calculation (GGA-PBE) on a relaxed ThHPb2 crystal.

Cell: 3.6644 3.6646 8.7388 Å, 77.25 77.90 60.00°
Sites, in units of the cell vectors:
Th 0.1296 0.8843 0.8565
H 0.4926 0.2526 0.7623
Pb 0.9049 0.6788 0.5115
Pb 0.6833 0.4463 0.1871

Values from the calculation:
- E (Ha/atom) = -0.17143
- total magnetic moment (μB/cell) = 0.0
- crystal system = monoclinic

No. 2
VASP calculation (GGA-PBE) on a relaxed ThHPb crystal.

Cell: 3.3991 3.3991 6.3749 Å, 105.46 105.46 90.00°
Sites, in units of the cell vectors:
Pb 0.0066 0.0066 0.0132
H 0.2696 0.2696 0.5392
Th 0.7238 0.7238 0.4476

Values from the calculation:
- energy above the most stable polymorph in this dataset (kJ/mol of formula units) = 58
- total magnetic moment (μB/cell) = 0.0
- crystal system = tetragonal

No. 3
VASP calculation (GGA-PBE) on a relaxed Ti2HPb crystal.

Cell: 5.3577 5.3577 5.9801 Å, 63.39 63.39 90.00°
Sites, in units of the cell vectors:
Pb 0.0000 0.0000 0.0000
Pb 0.7500 0.2500 0.5000
H 0.5000 0.5000 0.0000
H 0.2500 0.7500 0.5000
Ti 0.3750 0.1250 0.2500
Ti 0.3750 0.6250 0.2500
Ti 0.3750 0.6250 0.7500
Ti 0.8750 0.6250 0.7500

Values from the calculation:
- energy above the most stable polymorph in this dataset (kJ/mol of formula units) = 66
- total magnetic moment (μB/cell) = 0.0
- crystal system = tetragonal